Entry 1:
The following is a DFT calculation (PBE) of a geometry-optimized MgNi3H4 structure.

abc: 5.5450 4.8998 4.6298
angles: 90.00 90.00 90.00
Closest atoms and distances in Å follow each position.
Space group Pmn2_1 (No. 31)
Asymmetric unit:
1 Mg 0.0000 0.1540 0.0000  4 H 2.04-2.23
2 Ni 0.0000 0.8224 0.5184  4 H 1.64
3 Ni 0.2469 0.6612 0.0159  4 H 1.63-1.66
4 H 0.0000 0.1573 0.5174  3 Ni 1.64-1.66
5 H 0.0000 0.7676 0.1697  3 Ni 1.63-1.64
6 H 0.2137 0.6381 0.6676  3 Ni 1.63-1.64

As for the crystal system: orthorhombic. The uncorrected energy is -4.186 eV per atom.


Entry 2:
The following is a DFT calculation (PBE) of a geometry-optimized Mg2NiH structure.

abc: 6.0563 6.0563 5.9229
angles: 90.00 90.00 90.00
Closest atoms and distances in Å follow each position.
Space group I-42d (No. 122)
Asymmetric unit:
1 Mg 0.1762 0.2500 0.1250  2 H 1.99
2 Ni 0.0000 0.0000 0.5000  8 Mg 2.59-2.89
3 H 0.0000 0.0000 0.0000  4 Mg 1.99

As for the crystal system: tetragonal. Its distance to the lowest polymorph of the same formula is 0.0 kJ/mol of atoms. The uncorrected energy is -2.953 eV per atom.


Entry 3:
The following is a DFT calculation (PBE) of a geometry-optimized MgNi2PH structure.

abc: 3.4818 9.8921 6.4833
angles: 90.00 90.00 90.00
Closest atoms and distances in Å follow each position.
Space group Cmcm (No. 63)
Asymmetric unit:
1 Mg 0.0000 0.0425 0.2500  4 H 2.42
2 Ni 0.0000 0.3397 0.0530  1 H 1.62
3 P 0.0000 0.2336 0.7500  6 Ni 2.23-2.28
4 H 0.0000 0.5000 0.0000  2 Ni 1.62

As for the crystal system: orthorhombic. The uncorrected energy is -4.865 eV per atom.


Entry 4:
The following is a DFT calculation (PBE) of a geometry-optimized Mg2NiHPd structure.

abc: 4.4332 4.4332 3.2397
angles: 90.00 90.00 90.00
Closest atoms and distances in Å follow each position.
Space group P4/mmm (No. 123)
Asymmetric unit:
1 Mg 0.0000 0.5000 0.0000  2 H 2.22
2 Ni 0.0000 0.0000 0.5000  2 H 1.62
3 H 0.0000 0.0000 0.0000  2 Ni 1.62
4 Pd 0.5000 0.5000 0.5000  8 Mg 2.75

As for the crystal system: tetragonal. Its distance to the lowest polymorph of the same formula is 0.0 kJ/mol of atoms. The uncorrected energy is -3.911 eV per atom.


Entry 5:
The following is a DFT calculation (PBE) of a geometry-optimized MgNi2HPd structure.

abc: 3.6587 3.6587 4.1216
angles: 90.00 90.00 90.00
Closest atoms and distances in Å follow each position.
Space group P4/mmm (No. 123)
Asymmetric unit:
1 Mg 0.0000 0.0000 0.0000  2 H 2.06
2 Ni 0.0000 0.5000 0.5000  2 H 1.83
3 H 0.0000 0.0000 0.5000  4 Ni 1.83
4 Pd 0.5000 0.5000 0.0000  4 Mg 2.59, 8 Ni 2.76

As for the crystal system: tetragonal. Its distance to the lowest polymorph of the same formula is 3.0 kJ/mol of atoms. The uncorrected energy is -4.549 eV per atom.


Entry 6:
The following is a DFT calculation (PBE) of a geometry-optimized Mg2NiH6Pd structure.

abc: 4.7766 4.8674 4.9085
angles: 61.53 60.98 61.11
Closest atoms and distances in Å follow each position.
Space group P-1 (No. 2)
Asymmetric unit:
1 Mg 0.2422 0.2494 0.2484  5 H 2.05-2.27
2 Ni 0.0000 0.0000 0.0000  6 H 1.67
3 H 0.1876 0.2884 0.7981  1 Ni 1.67, 1 Pd 1.83
4 H 0.1972 0.8162 0.2754  1 Ni 1.67, 1 Pd 1.86
5 H 0.3150 0.7626 0.7698  1 Ni 1.67
6 Pd 0.5000 0.5000 0.5000  6 H 1.83-1.89

As for the crystal system: triclinic. The uncorrected energy is -3.590 eV per atom.


Entry 7:
The following is a DFT calculation (PBE) of a geometry-optimized MgNi2HPd structure.

abc: 3.7278 3.7278 3.9971
angles: 90.00 90.00 90.00
Closest atoms and distances in Å follow each position.
Space group P4/mmm (No. 123)
Asymmetric unit:
1 Mg 0.0000 0.0000 0.0000  4 Pd 2.64, 8 Ni 2.73
2 Ni 0.0000 0.5000 0.5000  2 H 1.86
3 H 0.5000 0.5000 0.5000  4 Ni 1.86, 2 Pd 2.00
4 Pd 0.5000 0.5000 0.0000  2 H 2.00

As for the crystal system: tetragonal. Its distance to the lowest polymorph of the same formula is 0.0 kJ/mol of atoms. The uncorrected energy is -4.580 eV per atom.


Entry 8:
The following is a DFT calculation (PBE) of a geometry-optimized MgNi3H8Pd2 structure.

abc: 5.2099 5.2099 13.9266
angles: 90.00 90.00 120.00
Closest atoms and distances in Å follow each position.
Space group R3m (No. 160, hexagonal axes)
Asymmetric unit:
1 Mg 0.0000 0.0000 0.0000  4 H 1.96-2.03
2 Ni 0.0029 0.5014 0.1412  6 H 1.67-1.75
3 H 0.0000 0.0000 0.4087  3 Ni 1.75, 1 Pd 1.84
4 H 0.0000 0.0000 0.8592  3 Ni 1.68
5 H 0.0475 0.5237 0.4112  2 Ni 1.67
6 H 0.1759 0.3518 0.2078  2 Ni 1.73, 1 Pd 1.86
7 Pd 0.0000 0.0000 0.2769  4 H 1.84-1.86
8 Pd 0.0000 0.0000 0.6412  6 H 1.93-1.99

As for the crystal system: trigonal. The uncorrected energy is -4.126 eV per atom.


Entry 9:
The following is a DFT calculation (PBE) of a geometry-optimized Mg2NiHPd structure.

abc: 4.3762 4.3762 3.4331
angles: 90.00 90.00 90.00
Closest atoms and distances in Å follow each position.
Space group P4/mmm (No. 123)
Asymmetric unit:
1 Mg 0.0000 0.5000 0.0000  2 H 2.19
2 Ni 0.0000 0.0000 0.5000  8 Mg 2.78, 4 Pd 3.09
3 H 0.5000 0.5000 0.0000  2 Pd 1.72
4 Pd 0.5000 0.5000 0.5000  2 H 1.72

As for the crystal system: tetragonal. Its distance to the lowest polymorph of the same formula is 13.6 kJ/mol of atoms. The uncorrected energy is -3.771 eV per atom.


Entry 10:
The following is a DFT calculation (PBE) of a geometry-optimized PmMgNi2H8 structure.

abc: 4.6417 4.6417 16.6390
angles: 90.00 90.00 120.00
Closest atoms and distances in Å follow each position.
Space group R-3 (No. 148, hexagonal axes)
Asymmetric unit:
1 Pm 0.0000 0.0000 0.0000  6 H 2.27
2 Mg 0.0000 0.0000 0.5000  6 H 1.94
3 Ni 0.0000 0.0000 0.2234  4 H 1.53-1.58
4 H 0.0000 0.0000 0.3153  1 Ni 1.53
5 H 0.0149 0.3096 0.8925  1 Ni 1.58

As for the crystal system: trigonal. The uncorrected energy is -3.867 eV per atom.


Entry 11:
The following is a DFT calculation (PBE) of a geometry-optimized PmMgNi4H6 structure.

abc: 4.3882 4.3882 6.6505
angles: 90.00 90.00 120.00
Closest atoms and distances in Å follow each position.
Space group P6/mmm (No. 191)
Asymmetric unit:
1 Pm 0.0000 0.0000 0.0000  12 H 2.46
2 Mg 0.0000 0.0000 0.5000  12 Ni 2.81, 12 H 3.11
3 Ni 0.3333 0.6667 0.3186  3 H 1.61
4 H 0.0000 0.5000 0.1680  2 Ni 1.61

As for the crystal system: hexagonal. The uncorrected energy is -4.431 eV per atom.


Entry 12:
The following is a DFT calculation (PBE) of a geometry-optimized PrMgNi2H6 structure.

abc: 4.4741 4.4741 15.8529
angles: 90.00 90.00 120.00
Closest atoms and distances in Å follow each position.
Space group R-3m (No. 166, hexagonal axes)
Asymmetric unit:
1 Pr 0.0000 0.0000 0.0000  12 H 2.49
2 Mg 0.0000 0.0000 0.5000  6 H 2.03
3 Ni 0.0000 0.0000 0.2091  3 H 1.55
4 H 0.0055 0.5027 0.9314  1 Ni 1.55

As for the crystal system: trigonal. The uncorrected energy is -4.102 eV per atom.